ZnNi2B: optimized geometry, GGA-PBE.

Lattice parameters (Å, degrees): 3.161 3.577 3.577 90.00 90.00 90.00
Atoms (fractional coordinates):
Ni 0.000 0.000 0.500
Zn 0.500 0.000 0.000
B 0.500 0.500 0.500
Ni 0.000 0.500 0.000

magnetization: 0.000 Bohr magnetons per cell
E: -4.7492 eV per atom
formation enthalpy at 0 K: 0.129 eV per atom
D(E_F): 2.1 states/eV/f.u.
space group: P4/mmm (123)